Record 1
Density functional theory data (GGA-PBE) for a relaxed structure of CaTc2Ir.

POSCAR file:
```
CaTc2Ir
1.0
2.750 0.013 0.000
-0.012 2.750 0.000
0.000 0.000 8.948
Ca Ir Tc
1 1 2
Direct
0.500 0.500 0.250 Ca
0.500 0.500 0.750 Ir
0.000 0.000 0.965 Tc
0.000 0.000 0.535 Tc
```

Summary:
**Symmetry**: P4/mmm (123)
**Size of the total moment**: 0.000 μB per atom
**Offset from the most stable computed form**: 0.61 eV/f.u.

Record 2
Density functional theory data (GGA-PBE) for a relaxed structure of CaTc2Ir.

POSCAR file:
```
CaTc2Ir
1.0
2.825 0.000 0.000
0.000 3.775 0.000
0.000 0.000 6.694
Ca Ir Tc
1 1 2
Direct
0.000 0.000 0.512 Ca
0.500 0.500 0.796 Ir
0.000 0.000 0.008 Tc
0.500 0.500 0.184 Tc
```

Summary:
**Symmetry**: Pmm2 (25)
**Size of the total moment**: 0.000 μB per atom
**Offset from the most stable computed form**: 0.19 eV/f.u.

Record 3
Density functional theory data (GGA-PBE) for a relaxed structure of CaTc2Ir.

POSCAR file:
```
CaTc2Ir
1.0
5.473 0.008 0.002
2.494 4.871 -0.002
-3.354 -3.468 2.584
Ca Ir Tc
1 1 2
Direct
0.502 0.502 0.000 Ca
0.223 0.723 0.500 Ir
0.991 0.991 0.000 Tc
0.785 0.285 0.500 Tc
```

Summary:
**Symmetry**: Imm2 (44)
**Size of the total moment**: 0.000 μB per atom
**Offset from the most stable computed form**: 0.61 eV/f.u.

Record 4
Density functional theory data (GGA-PBE) for a relaxed structure of Ca2TcIr.

POSCAR file:
```
Ca2TcIr
1.0
-2.873 1.610 4.150
-2.958 -1.840 -3.992
0.145 -2.862 1.211
Ca Ir Tc
2 1 1
Direct
0.000 0.000 0.000 Ca
0.500 0.500 0.000 Ca
0.500 0.000 0.500 Ir
0.000 0.500 0.500 Tc
```

Summary:
**Symmetry**: Cmmm (65)
**Size of the total moment**: 0.399 μB per atom
**Offset from the most stable computed form**: 1.45 eV/f.u.

Record 5
Density functional theory data (GGA-PBE) for a relaxed structure of Ca2TcIr.

POSCAR file:
```
Ca2TcIr
1.0
-4.885 6.451 -6.180
-5.366 3.695 -7.824
-7.363 4.507 -5.398
Ca Ir Tc
2 1 1
Direct
0.016 0.016 0.016 Ca
0.232 0.232 0.232 Ca
0.489 0.489 0.489 Ir
0.763 0.763 0.763 Tc
```

Summary:
**Symmetry**: R3m (160)
**Size of the total moment**: 0.157 μB per atom
**Offset from the most stable computed form**: 2.08 eV/f.u.

Record 6
Density functional theory data (GGA-PBE) for a relaxed structure of CaTcIr.

POSCAR file:
```
CaTcIr
1.0
5.478 -0.012 -0.003
1.764 4.018 0.001
0.844 2.025 5.313
Ca Ir Tc
2 2 2
Direct
0.220 0.663 0.857 Ca
0.588 0.149 0.516 Ca
0.807 0.335 0.925 Ir
0.002 0.476 0.448 Ir
0.167 0.993 0.248 Tc
0.641 0.818 0.125 Tc
```

Summary:
**Symmetry**: C2/m (12)
**Size of the total moment**: 0.000 μB per atom
**Offset from the most stable computed form**: 0.07 eV/f.u.

Record 7
Density functional theory data (GGA-PBE) for a relaxed structure of CaTcIr2.

POSCAR file:
```
CaTcIr2
1.0
-3.650 -0.449 -0.864
-0.575 -2.176 3.561
-0.921 3.572 2.034
Ca Ir Tc
1 2 1
Direct
0.500 0.000 0.500 Ca
0.000 0.000 0.000 Ir
0.000 0.500 0.500 Ir
0.500 0.500 0.000 Tc
```

Summary:
**Symmetry**: P4/mmm (123)
**Size of the total moment**: 0.463 μB per atom
**Offset from the most stable computed form**: 1.56 eV/f.u.

Record 8
Density functional theory data (GGA-PBE) for a relaxed structure of Ca2TcIr.

POSCAR file:
```
Ca2TcIr
1.0
-2.672 4.302 1.810
-5.290 -0.909 0.338
4.339 -2.647 1.756
Ca Ir Tc
2 1 1
Direct
0.001 0.001 0.000 Ca
0.499 0.499 0.000 Ca
0.250 0.750 0.500 Ir
0.750 0.250 0.500 Tc
```

Summary:
**Symmetry**: Immm (71)
**Size of the total moment**: 0.492 μB per atom
**Offset from the most stable computed form**: 1.44 eV/f.u.

Record 9
Density functional theory data (GGA-PBE) for a relaxed structure of CaTc2Ir.

POSCAR file:
```
CaTc2Ir
1.0
-5.066 5.278 -2.149
-5.685 -4.878 1.421
-5.512 1.089 2.141
Ca Ir Tc
2 2 4
Direct
0.500 0.500 0.000 Ca
0.250 0.750 0.500 Ca
0.000 0.000 0.000 Ir
0.750 0.250 0.500 Ir
0.683 0.125 0.250 Tc
0.067 0.625 0.250 Tc
0.375 0.317 0.750 Tc
0.875 0.933 0.750 Tc
```

Summary:
**Symmetry**: I-42d (122)
**Size of the total moment**: 0.000 μB per atom
**Offset from the most stable computed form**: 1.79 eV/f.u.

Record 10
Density functional theory data (GGA-PBE) for a relaxed structure of CaTcIr2.

POSCAR file:
```
CaTcIr2
1.0
4.846 0.016 -0.021
4.047 2.666 -0.021
0.731 0.220 5.329
Ca Ir Tc
1 2 1
Direct
0.750 0.750 0.750 Ca
0.992 0.992 0.047 Ir
0.508 0.508 0.453 Ir
0.250 0.250 0.250 Tc
```

Summary:
**Symmetry**: C2/m (12)
**Size of the total moment**: 0.000 μB per atom
**Offset from the most stable computed form**: 1.19 eV/f.u.

Record 11
Density functional theory data (GGA-PBE) for a relaxed structure of CaTc2Ir.

POSCAR file:
```
CaTc2Ir
1.0
-2.970 -0.279 -1.399
-0.493 -2.831 1.611
-2.811 3.490 5.272
Ca Ir Tc
1 1 2
Direct
0.500 0.500 0.250 Ca
0.500 0.500 0.750 Ir
0.000 0.000 0.930 Tc
0.000 0.000 0.570 Tc
```

Summary:
**Symmetry**: P4/mmm (123)
**Size of the total moment**: 0.000 μB per atom
**Offset from the most stable computed form**: 1.10 eV/f.u.

Record 12
Density functional theory data (GGA-PBE) for a relaxed structure of CaTc2Ir.

POSCAR file:
```
CaTc2Ir
1.0
4.628 0.000 0.000
0.000 3.812 0.000
0.000 0.000 3.812
Ca Ir Tc
1 1 2
Direct
0.500 0.500 0.000 Ca
0.500 0.000 0.500 Ir
0.000 0.000 0.000 Tc
0.000 0.500 0.500 Tc
```

Summary:
**Symmetry**: P4/mmm (123)
**Size of the total moment**: 0.000 μB per atom
**Offset from the most stable computed form**: 1.26 eV/f.u.

Record 13
Density functional theory data (GGA-PBE) for a relaxed structure of Ca2TcIr.

POSCAR file:
```
Ca2TcIr
1.0
-1.296 -1.705 2.328
3.932 -0.810 1.595
-0.363 4.883 3.374
Ca Ir Tc
2 1 1
Direct
0.000 0.000 0.006 Ca
0.000 0.000 0.494 Ca
0.500 0.500 0.250 Ir
0.500 0.500 0.750 Tc
```

Summary:
**Symmetry**: Pmmm (47)
**Size of the total moment**: 0.495 μB per atom
**Offset from the most stable computed form**: 1.44 eV/f.u.

Record 14
Density functional theory data (GGA-PBE) for a relaxed structure of CaTcIr.

POSCAR file:
```
CaTcIr
1.0
5.487 0.001 0.006
-0.001 4.462 0.000
-2.749 -2.231 5.228
Ca Ir Tc
2 2 2
Direct
0.413 0.014 0.526 Ca
0.667 0.768 0.034 Ca
0.040 0.391 0.280 Ir
0.540 0.391 0.280 Ir
0.986 0.587 0.671 Tc
0.095 0.196 0.889 Tc
```

Summary:
**Symmetry**: Imma (74)
**Size of the total moment**: 0.000 μB per atom
**Offset from the most stable computed form**: 0.71 eV/f.u.

Record 15
Density functional theory data (GGA-PBE) for a relaxed structure of CaTc2Ir.

POSCAR file:
```
CaTc2Ir
1.0
-3.930 0.946 1.410
0.439 -1.622 2.313
2.307 3.709 3.943
Ca Ir Tc
1 1 2
Direct
0.000 0.437 0.500 Ca
0.500 0.789 0.799 Ir
0.000 0.187 0.000 Tc
0.500 0.087 0.201 Tc
```

Summary:
**Symmetry**: Pm (6)
**Size of the total moment**: 0.000 μB per atom
**Offset from the most stable computed form**: 0.19 eV/f.u.

Record 16
Density functional theory data (GGA-PBE) for a relaxed structure of CaTcIr.

POSCAR file:
```
CaTcIr
1.0
-4.768 1.973 -1.607
-2.337 -4.694 1.309
-4.568 -0.206 3.337
Ca Ir Tc
2 2 2
Direct
0.365 0.400 0.366 Ca
0.616 0.149 0.866 Ca
0.983 0.784 0.118 Ir
0.981 0.782 0.614 Ir
0.005 0.290 0.101 Tc
0.477 0.760 0.630 Tc
```

Summary:
**Symmetry**: Imm2 (44)
**Size of the total moment**: 0.000 μB per atom
**Offset from the most stable computed form**: 0.00 eV/f.u.

Record 17
Density functional theory data (GGA-PBE) for a relaxed structure of Ca2TcIr.

POSCAR file:
```
Ca2TcIr
1.0
4.223 0.000 0.000
0.000 4.251 0.000
0.000 0.000 4.479
Ca Ir Tc
2 1 1
Direct
0.000 0.000 0.000 Ca
0.500 0.500 0.000 Ca
0.500 0.000 0.500 Ir
0.000 0.500 0.500 Tc
```

Summary:
**Symmetry**: Pmmm (47)
**Size of the total moment**: 0.479 μB per atom
**Offset from the most stable computed form**: 1.43 eV/f.u.

Record 18
Density functional theory data (GGA-PBE) for a relaxed structure of Ca3TcIr.

POSCAR file:
```
Ca3TcIr
1.0
-0.651 -4.886 -2.225
5.322 -0.292 -0.916
0.708 -2.300 4.844
Ca Ir Tc
3 1 1
Direct
0.000 0.500 0.000 Ca
0.000 0.000 0.500 Ca
0.500 0.000 0.000 Ca
0.000 0.000 0.000 Ir
0.500 0.500 0.500 Tc
```

Summary:
**Symmetry**: Pm-3m (221)
**Size of the total moment**: 0.736 μB per atom
**Offset from the most stable computed form**: 0.00 eV/f.u.

Record 19
Density functional theory data (GGA-PBE) for a relaxed structure of CaTcIr.

POSCAR file:
```
CaTcIr
1.0
-1.839 4.751 -2.868
1.264 -3.924 -3.070
-4.223 -1.515 0.197
Ca Ir Tc
2 2 2
Direct
0.558 0.568 0.128 Ca
0.572 0.063 0.628 Ca
0.132 0.941 0.128 Ir
0.130 0.240 0.628 Ir
0.015 0.388 0.128 Tc
0.019 0.688 0.628 Tc
```

Summary:
**Symmetry**: Pm (6)
**Size of the total moment**: 0.000 μB per atom
**Offset from the most stable computed form**: 0.45 eV/f.u.

Record 20
Density functional theory data (GGA-PBE) for a relaxed structure of CaTcIr2.

POSCAR file:
```
CaTcIr2
1.0
-3.625 -0.368 2.696
-3.170 -3.118 -0.878
-0.449 -3.602 2.714
Ca Ir Tc
1 2 1
Direct
0.500 0.500 0.500 Ca
0.000 0.000 0.000 Ir
0.750 0.750 0.750 Ir
0.250 0.250 0.250 Tc
```

Summary:
**Symmetry**: F-43m (216)
**Size of the total moment**: 0.002 μB per atom
**Offset from the most stable computed form**: 2.07 eV/f.u.

Record 21
Density functional theory data (GGA-PBE) for a relaxed structure of CaTcIr.

POSCAR file:
```
CaTcIr
1.0
5.751 0.000 -0.004
0.065 5.215 0.000
1.726 -0.021 4.104
Ca Ir Tc
2 2 2
Direct
0.614 0.813 0.274 Ca
0.523 0.312 0.819 Ca
0.154 0.804 0.003 Ir
0.077 0.077 0.542 Ir
0.994 0.306 0.083 Tc
0.063 0.576 0.549 Tc
```

Summary:
**Symmetry**: Cm (8)
**Size of the total moment**: 0.000 μB per atom
**Offset from the most stable computed form**: 0.38 eV/f.u.

Record 22
Density functional theory data (GGA-PBE) for a relaxed structure of CaTcIr2.

POSCAR file:
```
CaTcIr2
1.0
5.035 -0.005 0.000
1.900 4.662 0.000
-3.468 -2.329 2.811
Ca Ir Tc
1 2 1
Direct
0.750 0.250 0.500 Ca
0.000 0.000 0.000 Ir
0.250 0.750 0.500 Ir
0.500 0.500 0.000 Tc
```

Summary:
**Symmetry**: I-4m2 (119)
**Size of the total moment**: 0.000 μB per atom
**Offset from the most stable computed form**: 1.60 eV/f.u.

Record 23
Density functional theory data (GGA-PBE) for a relaxed structure of CaTcIr2.

POSCAR file:
```
CaTcIr2
1.0
7.448 0.000 0.000
0.000 7.448 0.000
3.724 3.724 2.772
Ca Ir Tc
2 4 2
Direct
0.500 0.500 0.000 Ca
0.250 0.750 0.500 Ca
0.681 0.125 0.250 Ir
0.069 0.625 0.250 Ir
0.375 0.319 0.750 Ir
0.875 0.931 0.750 Ir
0.000 0.000 0.000 Tc
0.750 0.250 0.500 Tc
```

Summary:
**Symmetry**: I-42d (122)
**Size of the total moment**: 0.000 μB per atom
**Offset from the most stable computed form**: 1.97 eV/f.u.

Record 24
Density functional theory data (GGA-PBE) for a relaxed structure of CaTcIr2.

POSCAR file:
```
CaTcIr2
1.0
-9.599 0.566 -0.012
-9.313 -1.774 -1.607
-9.329 -1.979 1.232
Ca Ir Tc
1 2 1
Direct
0.748 0.748 0.748 Ca
0.995 0.995 0.995 Ir
0.248 0.248 0.248 Ir
0.509 0.509 0.509 Tc
```

Summary:
**Symmetry**: R3m (160)
**Size of the total moment**: 0.081 μB per atom
**Offset from the most stable computed form**: 1.94 eV/f.u.

Record 25
Density functional theory data (GGA-PBE) for a relaxed structure of CaTcIr2.

POSCAR file:
```
CaTcIr2
1.0
-4.877 -1.160 -1.958
-3.527 -3.621 -1.848
-2.771 -1.354 3.718
Ca Ir Tc
1 2 1
Direct
0.736 0.736 0.808 Ca
0.975 0.975 0.953 Ir
0.259 0.259 0.302 Ir
0.530 0.530 0.438 Tc
```

Summary:
**Symmetry**: Cm (8)
**Size of the total moment**: 0.000 μB per atom
**Offset from the most stable computed form**: 0.68 eV/f.u.

Record 26
Density functional theory data (GGA-PBE) for a relaxed structure of CaTcIr.

POSCAR file:
```
CaTcIr
1.0
4.566 0.000 0.000
0.000 4.566 0.000
0.000 0.000 6.346
Ca Ir Tc
2 2 2
Direct
0.000 0.500 0.856 Ca
0.500 0.000 0.144 Ca
0.000 0.500 0.343 Ir
0.500 0.000 0.657 Ir
0.000 0.000 0.500 Tc
0.500 0.500 0.500 Tc
```

Summary:
**Symmetry**: P4/nmm (129)
**Size of the total moment**: 0.000 μB per atom
**Offset from the most stable computed form**: 0.32 eV/f.u.

Record 27
Density functional theory data (GGA-PBE) for a relaxed structure of CaTcIr2.

POSCAR file:
```
CaTcIr2
1.0
-0.839 0.074 4.839
-2.897 -3.483 -1.899
2.036 -1.902 0.382
Ca Ir Tc
1 2 1
Direct
0.000 0.500 0.500 Ca
0.000 0.000 0.000 Ir
0.500 0.500 0.000 Ir
0.500 0.000 0.500 Tc
```

Summary:
**Symmetry**: Cmmm (65)
**Size of the total moment**: 0.000 μB per atom
**Offset from the most stable computed form**: 0.77 eV/f.u.

Record 28
Density functional theory data (GGA-PBE) for a relaxed structure of CaTcIr2.

POSCAR file:
```
CaTcIr2
1.0
3.187 0.000 0.000
0.000 3.187 0.000
0.000 0.000 7.074
Ca Ir Tc
1 2 1
Direct
0.500 0.500 0.758 Ca
0.000 0.000 0.040 Ir
0.500 0.500 0.265 Ir
0.000 0.000 0.437 Tc
```

Summary:
**Symmetry**: P4mm (99)
**Size of the total moment**: 0.000 μB per atom
**Offset from the most stable computed form**: 1.62 eV/f.u.

Record 29
Density functional theory data (GGA-PBE) for a relaxed structure of CaTcIr.

POSCAR file:
```
CaTcIr
1.0
-3.583 3.313 -3.118
0.372 -0.728 -4.373
-3.665 -3.679 0.301
Ca Ir Tc
2 2 2
Direct
0.535 0.749 0.459 Ca
0.607 0.213 0.959 Ca
0.035 0.500 0.744 Ir
0.107 0.463 0.244 Ir
0.141 0.946 0.969 Tc
0.000 0.017 0.469 Tc
```

Summary:
**Symmetry**: Cmc2_1 (36)
**Size of the total moment**: 0.000 μB per atom
**Offset from the most stable computed form**: 0.48 eV/f.u.